#1
Density functional theory data (GGA+U) for a relaxed Mg3V2O8 crystal.

Cell and atoms, written as CIF:
```
data_Mg3V2O8
_cell_length_a 6.0818
_cell_length_b 6.0818
_cell_length_c 13.9325
_cell_angle_alpha 90.00
_cell_angle_beta 90.00
_cell_angle_gamma 120.00
_symmetry_space_group_name_H-M 'R -3 m'
_symmetry_Int_Tables_number 166
_symmetry_space_group_name_Hall '-R 3 2"'
loop_
_atom_site_label
_atom_site_type_symbol
_atom_site_fract_x
_atom_site_fract_y
_atom_site_fract_z
Mg1 Mg 0.0000 0.5000 0.0000
V1 V 0.0000 0.0000 0.1240
O1 O 0.0000 0.0000 0.2560
O2 O 0.0240 0.5120 0.7487
```

Summary:
N(E_F)   0.00 states/eV per cell
Crystal system   trigonal
Spin magnetization   0.0 μB/f.u.



#2
Density functional theory data (GGA+U) for a relaxed Mg3V2O8 crystal.

Cell and atoms, written as CIF:
```
data_Mg3V2O8
_cell_length_a 6.124
_cell_length_b 11.616
_cell_length_c 8.417
_cell_angle_alpha 90.00
_cell_angle_beta 90.00
_cell_angle_gamma 90.00
_symmetry_space_group_name_H-M 'C m c e'
_symmetry_Int_Tables_number 64
_symmetry_space_group_name_Hall '-C 2ac 2'
loop_
_atom_site_label
_atom_site_type_symbol
_atom_site_fract_x
_atom_site_fract_y
_atom_site_fract_z
Mg1 Mg 0.000 0.000 0.000
Mg2 Mg 0.250 0.136 0.250
V1 V 0.000 0.120 0.620
O1 O 0.000 0.003 0.245
O2 O 0.000 0.249 0.725
O3 O 0.229 0.117 0.500
```

Summary:
N(E_F)   0.00 states/eV per cell
Crystal system   orthorhombic
Spin magnetization   0.0 μB/f.u.



Energies relative to the minimum, meV per atom: #1 19; #2 0



#1
Density functional theory data (GGA+U) for a relaxed MgV2O5 crystal.

Cell and atoms, written as CIF:
```
data_MgV2O5
_cell_length_a 3.722
_cell_length_b 10.176
_cell_length_c 11.224
_cell_angle_alpha 90.00
_cell_angle_beta 90.00
_cell_angle_gamma 90.00
_symmetry_space_group_name_H-M 'C m c m'
_symmetry_Int_Tables_number 63
_symmetry_space_group_name_Hall '-C 2c 2'
loop_
_atom_site_label
_atom_site_type_symbol
_atom_site_fract_x
_atom_site_fract_y
_atom_site_fract_z
Mg1 Mg 0.000 0.109 0.250
V1 V 0.000 0.201 0.598
O1 O 0.000 0.041 0.628
O2 O 0.000 0.235 0.077
O3 O 0.000 0.303 0.750
```

Summary:
N(E_F)   0.00 states/eV per cell
Crystal system   orthorhombic
Spin magnetization   2.0 μB/f.u.



#2
Density functional theory data (GGA+U) for a relaxed MgV2O5 crystal.

Cell and atoms, written as CIF:
```
data_MgV2O5
_cell_length_a 3.424
_cell_length_b 11.654
_cell_length_c 4.897
_cell_angle_alpha 90.00
_cell_angle_beta 90.00
_cell_angle_gamma 90.00
_symmetry_space_group_name_H-M 'P m m n'
_symmetry_Int_Tables_number 59
loop_
_symmetry_equiv_pos_as_xyz
'x,y,z'
'-x,-y,-z'
'-x+1/2,-y+1/2,z'
'x+1/2,y+1/2,-z'
'x+1/2,-y,-z'
'-x+1/2,y,z'
'-x,y+1/2,-z'
'x,-y+1/2,z'
loop_
_atom_site_label
_atom_site_type_symbol
_atom_site_fract_x
_atom_site_fract_y
_atom_site_fract_z
Mg1 Mg 0.250 0.250 0.177
V1 V 0.250 0.599 0.393
O1 O 0.250 0.075 0.429
O2 O 0.250 0.636 0.060
O3 O 0.250 0.750 0.572
```

Summary:
N(E_F)   0.00 states/eV per cell
Crystal system   orthorhombic
Spin magnetization   2.0 μB/f.u.



Energies relative to the minimum, meV per atom: #1 0; #2 75



#1
Density functional theory data (GGA+U) for a relaxed Mg3VO4 crystal.

Cell and atoms, written as CIF:
```
data_Mg3VO4
_cell_length_a 4.309
_cell_length_b 4.309
_cell_length_c 4.309
_cell_angle_alpha 90.00
_cell_angle_beta 90.00
_cell_angle_gamma 90.00
_symmetry_space_group_name_H-M 'P m -3 m'
_symmetry_Int_Tables_number 221
_symmetry_space_group_name_Hall '-P 4 2 3'
loop_
_atom_site_label
_atom_site_type_symbol
_atom_site_fract_x
_atom_site_fract_y
_atom_site_fract_z
Mg1 Mg 0.000 0.000 0.500
V1 V 0.500 0.500 0.500
O1 O 0.000 0.000 0.000
O2 O 0.000 0.500 0.500
```

Summary:
Crystal system   cubic
Spin magnetization   3.0 μB/f.u.



#2
Density functional theory data (GGA+U) for a relaxed Mg3VO4 crystal.

Cell and atoms, written as CIF:
```
data_Mg3VO4
_cell_length_a 5.266
_cell_length_b 6.084
_cell_length_c 5.271
_cell_angle_alpha 90.00
_cell_angle_beta 109.47
_cell_angle_gamma 90.00
_symmetry_space_group_name_H-M 'P 1 2/c 1'
_symmetry_Int_Tables_number 13
_symmetry_space_group_name_Hall '-P 2yc'
loop_
_atom_site_label
_atom_site_type_symbol
_atom_site_fract_x
_atom_site_fract_y
_atom_site_fract_z
Mg1 Mg 0.000 0.124 0.250
Mg2 Mg 0.000 0.374 0.750
Mg3 Mg 0.500 0.125 0.750
V1 V 0.500 0.372 0.250
O1 O 0.241 0.371 0.501
O2 O 0.247 0.120 0.995
```

Summary:
Crystal system   monoclinic
Spin magnetization   3.0 μB/f.u.



Energies relative to the minimum, meV per atom: #1 9; #2 0



#1
Density functional theory data (GGA+U) for a relaxed Mg3VO crystal.

Cell and atoms, written as CIF:
```
data_Mg3VO
_cell_length_a 4.346
_cell_length_b 4.346
_cell_length_c 4.346
_cell_angle_alpha 90.00
_cell_angle_beta 90.00
_cell_angle_gamma 90.00
_symmetry_space_group_name_H-M 'P m -3 m'
_symmetry_Int_Tables_number 221
_symmetry_space_group_name_Hall '-P 4 2 3'
loop_
_atom_site_label
_atom_site_type_symbol
_atom_site_fract_x
_atom_site_fract_y
_atom_site_fract_z
Mg1 Mg 0.000 0.000 0.500
V1 V 0.500 0.500 0.500
O1 O 0.000 0.000 0.000
```

Summary:
N(E_F)   0.58 states/eV per cell
Crystal system   cubic
Spin magnetization   3.0 μB/f.u.



#2
Density functional theory data (GGA+U) for a relaxed Mg3VO crystal.

Cell and atoms, written as CIF:
```
data_Mg3VO
_cell_length_a 5.217
_cell_length_b 5.217
_cell_length_c 5.217
_cell_angle_alpha 90.00
_cell_angle_beta 90.00
_cell_angle_gamma 90.00
_symmetry_space_group_name_H-M 'P m -3 m'
_symmetry_Int_Tables_number 221
_symmetry_space_group_name_Hall '-P 4 2 3'
loop_
_atom_site_label
_atom_site_type_symbol
_atom_site_fract_x
_atom_site_fract_y
_atom_site_fract_z
Mg1 Mg 0.000 0.000 0.500
V1 V 0.000 0.000 0.000
O1 O 0.500 0.500 0.500
```

Summary:
N(E_F)   2.89 states/eV per cell
Crystal system   cubic
Spin magnetization   6.1 μB/f.u.



Energies relative to the minimum, meV per atom: #1 0; #2 1741